1.
# PmNi2AsO6

An optimized crystal structure of PmNi2AsO6 (PBE+U, Alexandria).

Cell lengths 5.2649, 5.2631, 5.6373 Å; angles 62.16, 62.15, 60.00 degrees
Closest atoms and distances in Å follow each position.
Element x y z (fractional)
Ni  0.5236  0.5235  0.4294  6 O 2.10-2.17
Ni  0.0114  0.0114  0.9654  6 O 2.02-2.16
O  0.1589  0.3684  0.7707  1 As 1.90, 1 Ni 2.02
O  0.5740  0.2460  0.2263  1 As 1.88, 1 Ni 2.10
O  0.2460  0.9536  0.2265  1 As 1.88, 1 Ni 2.10
O  0.3684  0.7021  0.7706  1 As 1.90, 1 Ni 2.02
O  0.7020  0.1589  0.7706  1 As 1.90, 1 Ni 2.02
O  0.9536  0.5741  0.2264  1 As 1.88, 1 Ni 2.10
As  0.3226  0.3226  0.0323  6 O 1.88-1.90
Pm  0.8011  0.8010  0.5969  6 O 2.25-2.50

## Properties
* total moment: 4.00 μB per cell
* final energy: -6.126 eV/atom
* symmetry: R3

---

2.
# PmNiAsO6

An optimized crystal structure of PmNiAsO6 (PBE+U, Alexandria).

Cell lengths 5.0994, 4.9116, 4.9116 Å; angles 120.00, 90.00, 90.00 degrees
Closest atoms and distances in Å follow each position.
Element x y z (fractional)
As  0.5000  0.0000  0.0000  6 O 1.85
O  0.7060  0.7110  0.6708  1 As 1.85, 1 Ni 1.88
O  0.2940  0.3292  0.2890  1 As 1.85, 1 Ni 1.88
O  0.7060  0.3292  0.0402  1 As 1.85, 1 Ni 1.88
O  0.7060  0.9598  0.2890  1 As 1.85, 1 Ni 1.88
O  0.2940  0.7110  0.0402  1 As 1.85, 1 Ni 1.88
O  0.2940  0.9598  0.6708  1 As 1.85, 1 Ni 1.88
Pm  0.0000  0.3333  0.6667  6 O 2.38
Ni  0.5000  0.6667  0.3333  6 O 1.88

## Properties
* total moment: 0.00 μB per cell
* final energy: -6.302 eV/atom
* symmetry: P312

---

3.
# PrNiAs2O8

An optimized crystal structure of PrNiAs2O8 (PBE+U, Alexandria).

Cell lengths 5.9958, 5.9958, 5.9958 Å; angles 105.72, 105.72, 117.28 degrees
Closest atoms and distances in Å follow each position.
Element x y z (fractional)
O  0.8598  0.6735  0.1863  1 As 1.73
O  0.7291  0.0584  0.6708  1 As 1.72
O  0.3876  0.0584  0.3292  1 As 1.72
O  0.3265  0.1402  0.8137  1 As 1.73
O  0.3265  0.5129  0.1863  1 As 1.73
O  0.9416  0.6124  0.6708  1 As 1.72
O  0.4871  0.6735  0.8137  1 As 1.73
O  0.9416  0.2709  0.3292  1 As 1.72
Ni  0.2500  0.7500  0.5000  8 O 2.29-2.32
As  0.5000  0.5000  0.0000  4 O 1.73
As  0.7500  0.2500  0.5000  4 O 1.72
Pr  0.0000  0.0000  0.0000  8 O 2.41-2.44

## Properties
* total moment: 3.04 μB per cell
* final energy: -6.097 eV/atom
* symmetry: I-4m2

---

4.
# Ni2AsPtO6

An optimized crystal structure of Ni2AsPtO6 (PBE+U, Alexandria).

Cell lengths 4.1843, 5.5885, 5.5885 Å; angles 90.00, 90.00, 90.00 degrees
Closest atoms and distances in Å follow each position.
Element x y z (fractional)
O  0.7505  0.7630  0.7630  1 As 1.95, 2 Ni 2.06, 1 Pt 2.11
O  0.7505  0.2370  0.2370  1 As 1.95, 2 Ni 2.06, 1 Pt 2.11
O  0.7505  0.2370  0.7630  1 As 1.95, 2 Ni 2.06, 1 Pt 2.11
O  0.7505  0.7630  0.2370  1 As 1.95, 2 Ni 2.06, 1 Pt 2.11
O  0.1765  0.5000  0.5000  2 Pt 2.05-2.13
O  0.2175  0.0000  0.0000  1 As 1.67
Ni  0.8833  0.0000  0.5000  4 O 2.06
Ni  0.8833  0.5000  0.0000  4 O 2.06
Pt  0.6674  0.5000  0.5000  6 O 2.05-2.13
As  0.6171  0.0000  0.0000  1 O 1.67

## Properties
* total moment: 4.50 μB per cell
* final energy: -4.999 eV/atom
* symmetry: P4mm